Density functional theory data (GGA+U) for a relaxed structure of UMoPb2O6.

Values from the calculation:
crystal system	monoclinic
total energy	-75.676	eV for the cell shown

Unit cell a=5.9785 b=6.0846 c=5.9444 alpha=59.57 beta=59.81 gamma=90.01
Last column: nearest neighbours and their distance in Å.
Sites, in units of the cell vectors:
Pb 0.7478 0.2196 0.5046  5 O 2.59-2.72
Pb 0.2522 0.7804 0.4954  5 O 2.59-2.72
O 0.8058 0.8032 0.8936  1 Mo 2.17, 1 U 2.19
O 0.3011 0.8036 0.8936  1 Mo 2.17, 1 U 2.19
O 0.1942 0.1968 0.1064  1 Mo 2.17, 1 U 2.19
O 0.2531 0.3342 0.4937  1 U 2.11, 1 Mo 2.17
O 0.7469 0.6658 0.5063  1 U 2.11, 1 Mo 2.17
O 0.6989 0.1964 0.1064  1 Mo 2.17, 1 U 2.19
Mo 0.0000 0.0000 0.0000  6 O 2.17
U 0.5000 0.5000 0.0000  6 O 2.11-2.19